VASP calculation (PBE-GGA) on a relaxed CaTlP2O crystal.

Summary:
- mass density (Mg/m³) = 4.58
- total DFT energy (no corrections) (eV/atom) = -3.786
- energy relative to the elements, uncorrected (meV/atom) = 242.8
- D(E_F) (states/eV/f.u.) = 4.617

Cell lengths 5.208, 5.208, 4.311 Å; angles 90.00, 90.00, 90.00 degrees
Fractional positions:
1 Ca 0.000 0.000 0.000
2 Tl 0.500 0.500 0.500
3 P 0.000 0.500 0.500
4 P 0.500 0.000 0.500
5 O 0.500 0.500 0.000